First-principles (PBE+U) data for an optimized crystal structure of Na2Al3NiF12, as listed in the Alexandria database.

Space-group type = No. 166

The structure in POSCAR format:
```
Na2Al3NiF12
1.0
3.522 2.034 5.741
-3.522 2.034 5.741
0.000 -4.067 5.741
Na Al Ni F
2 3 1 12
Direct
0.167 0.167 0.167
0.833 0.833 0.833
0.000 0.500 0.500
0.500 0.000 0.500
0.500 0.500 0.000
0.500 0.500 0.500
0.123 0.596 0.596
0.203 0.203 0.576
0.203 0.576 0.203
0.404 0.404 0.877
0.404 0.877 0.404
0.424 0.797 0.797
0.576 0.203 0.203
0.596 0.123 0.596
0.596 0.596 0.123
0.797 0.424 0.797
0.797 0.797 0.424
0.877 0.404 0.404
```

=====

First-principles (PBE+U) data for an optimized crystal structure of Na2AlNiF6, as listed in the Alexandria database.

Space-group type = No. 59

The structure in POSCAR format:
```
Na2AlNiF6
1.0
5.358 0.000 0.000
0.000 8.779 0.000
0.000 0.000 5.633
Na Al Ni F
4 2 2 12
Direct
0.250 0.049 0.195
0.250 0.451 0.195
0.750 0.549 0.805
0.750 0.951 0.805
0.250 0.750 0.806
0.750 0.250 0.194
0.250 0.250 0.691
0.750 0.750 0.309
0.002 0.750 0.584
0.007 0.750 0.034
0.250 0.544 0.812
0.250 0.956 0.812
0.493 0.750 0.034
0.498 0.750 0.584
0.502 0.250 0.416
0.507 0.250 0.966
0.750 0.044 0.188
0.750 0.456 0.188
0.993 0.250 0.966
0.998 0.250 0.416
```

=====

First-principles (PBE+U) data for an optimized crystal structure of Na2AlNiF7, as listed in the Alexandria database.

Space-group type = No. 74

The structure in POSCAR format:
```
Na2AlNiF7
1.0
-3.569 5.079 3.710
3.569 -5.079 3.710
3.569 5.079 -3.710
Na Al Ni F
4 2 2 14
Direct
0.000 0.000 0.000
0.500 0.000 0.000
0.500 0.000 0.500
0.500 0.500 0.500
0.000 0.500 0.500
0.500 0.500 0.000
0.000 0.000 0.500
0.000 0.500 0.000
0.046 0.248 0.426
0.046 0.621 0.799
0.121 0.871 0.250
0.306 0.721 0.585
0.322 0.248 0.701
0.322 0.621 0.074
0.363 0.279 0.085
0.637 0.721 0.915
0.678 0.379 0.926
0.678 0.752 0.299
0.694 0.279 0.415
0.879 0.129 0.750
0.954 0.379 0.201
0.954 0.752 0.574
```

=====

The calculation returns the following total DFT energy (no corrections) values, one per record and in order: -93.0, -94.4, -108.7 eV for the cell shown.